a) Here is crystalline IrSeCl2 at its relaxed geometry from Alexandria. Energies are from GGA-PBE.

```
data_IrSeCl2
_cell_length_a 4.304
_cell_length_b 4.304
_cell_length_c 7.792
_cell_angle_alpha 90.00
_cell_angle_beta 90.00
_cell_angle_gamma 90.00
_symmetry_space_group_name_H-M 'I 4/m m m'
_symmetry_Int_Tables_number 139
_symmetry_space_group_name_Hall '-I 4 2'
loop_
_atom_site_label
_atom_site_fract_x
_atom_site_fract_y
_atom_site_fract_z
Ir1 0.000 0.000 0.000
Se1 0.000 0.000 0.500
Cl1 0.000 0.500 0.250
```

b) Here is crystalline IrSeCl2 at its relaxed geometry from Alexandria. Energies are from GGA-PBE.

```
data_IrSeCl2
_cell_length_a 3.4894
_cell_length_b 3.4894
_cell_length_c 24.8391
_cell_angle_alpha 90.00
_cell_angle_beta 90.00
_cell_angle_gamma 120.00
_symmetry_space_group_name_H-M 'R -3 m'
_symmetry_Int_Tables_number 166
_symmetry_space_group_name_Hall '-R 3 2"'
loop_
_atom_site_label
_atom_site_fract_x
_atom_site_fract_y
_atom_site_fract_z
Ir1 0.0000 0.0000 0.0000
Se1 0.0000 0.0000 0.5000
Cl1 0.0000 0.0000 0.2800
```

c) Here is crystalline IrSeCl2 at its relaxed geometry from Alexandria. Energies are from GGA-PBE.

```
data_IrSeCl2
_cell_length_a 4.990
_cell_length_b 12.994
_cell_length_c 3.439
_cell_angle_alpha 90.00
_cell_angle_beta 90.00
_cell_angle_gamma 90.00
_symmetry_space_group_name_H-M 'C m m m'
_symmetry_Int_Tables_number 65
_symmetry_space_group_name_Hall '-C 2 2'
loop_
_atom_site_label
_atom_site_fract_x
_atom_site_fract_y
_atom_site_fract_z
Ir1 0.000 0.000 0.000
Se1 0.000 0.500 0.000
Cl1 0.000 0.125 0.500
```

Question: which arrangement is favored energetically? Ranking from most to least stable: c), b), a).

a) Here is crystalline IrSeCl2 at its relaxed geometry from Alexandria. Energies are from GGA-PBE.

```
data_IrSeCl2
_cell_length_a 6.442
_cell_length_b 3.665
_cell_length_c 7.650
_cell_angle_alpha 90.00
_cell_angle_beta 94.70
_cell_angle_gamma 90.00
_symmetry_space_group_name_H-M 'C 1 m 1'
_symmetry_Int_Tables_number 8
loop_
_symmetry_equiv_pos_as_xyz
'x,y,z'
'x,-y,z'
'x+1/2,y+1/2,z'
'x+1/2,-y+1/2,z'
loop_
_atom_site_label
_atom_site_fract_x
_atom_site_fract_y
_atom_site_fract_z
Ir1 0.000 0.000 0.000
Se1 0.324 0.000 0.843
Cl1 0.185 0.500 0.182
Cl2 0.460 0.000 0.554
```

b) Here is crystalline IrSeCl2 at its relaxed geometry from Alexandria. Energies are from GGA-PBE.

```
data_IrSeCl2
_cell_length_a 3.569
_cell_length_b 5.245
_cell_length_c 13.307
_cell_angle_alpha 90.00
_cell_angle_beta 90.00
_cell_angle_gamma 90.00
_symmetry_space_group_name_H-M 'I m m 2'
_symmetry_Int_Tables_number 44
loop_
_symmetry_equiv_pos_as_xyz
'x,y,z'
'-x,-y,z'
'-x,y,z'
'x,-y,z'
'x+1/2,y+1/2,z+1/2'
'-x+1/2,-y+1/2,z+1/2'
'-x+1/2,y+1/2,z+1/2'
'x+1/2,-y+1/2,z+1/2'
loop_
_atom_site_label
_atom_site_fract_x
_atom_site_fract_y
_atom_site_fract_z
Ir1 0.000 0.000 0.000
Se1 0.000 0.500 0.616
Cl1 0.000 0.000 0.597
Cl2 0.000 0.500 0.375
```

Question: which arrangement is favored energetically? Ranking from most to least stable: a), b).

a) Here is crystalline IrSeCl2 at its relaxed geometry from Alexandria. Energies are from GGA-PBE.

```
data_IrSeCl2
_cell_length_a 2.999
_cell_length_b 4.384
_cell_length_c 5.386
_cell_angle_alpha 90.00
_cell_angle_beta 90.00
_cell_angle_gamma 90.00
_symmetry_space_group_name_H-M 'P m m m'
_symmetry_Int_Tables_number 47
loop_
_symmetry_equiv_pos_as_xyz
'x,y,z'
'-x,-y,-z'
'-x,-y,z'
'x,y,-z'
'x,-y,-z'
'-x,y,z'
'-x,y,-z'
'x,-y,z'
loop_
_atom_site_label
_atom_site_fract_x
_atom_site_fract_y
_atom_site_fract_z
Ir1 0.000 0.000 0.000
Se1 0.500 0.000 0.500
Cl1 0.000 0.500 0.500
Cl2 0.500 0.500 0.000
```

b) Here is crystalline IrSeCl2 at its relaxed geometry from Alexandria. Energies are from GGA-PBE.

```
data_IrSeCl2
_cell_length_a 3.486
_cell_length_b 8.090
_cell_length_c 8.670
_cell_angle_alpha 90.00
_cell_angle_beta 90.00
_cell_angle_gamma 90.00
_symmetry_space_group_name_H-M 'C m m 2'
_symmetry_Int_Tables_number 35
loop_
_symmetry_equiv_pos_as_xyz
'x,y,z'
'-x,-y,z'
'-x,y,z'
'x,-y,z'
'x+1/2,y+1/2,z'
'-x+1/2,-y+1/2,z'
'-x+1/2,y+1/2,z'
'x+1/2,-y+1/2,z'
loop_
_atom_site_label
_atom_site_fract_x
_atom_site_fract_y
_atom_site_fract_z
Ir1 0.000 0.000 0.000
Se1 0.000 0.500 0.828
Cl1 0.000 0.000 0.569
Cl2 0.000 0.500 0.193
```

c) Here is crystalline IrSeCl2 at its relaxed geometry from Alexandria. Energies are from GGA-PBE.

```
data_IrSeCl2
_cell_length_a 5.851
_cell_length_b 8.248
_cell_length_c 2.956
_cell_angle_alpha 90.00
_cell_angle_beta 90.00
_cell_angle_gamma 90.00
_symmetry_space_group_name_H-M 'C m m m'
_symmetry_Int_Tables_number 65
_symmetry_space_group_name_Hall '-C 2 2'
loop_
_atom_site_label
_atom_site_fract_x
_atom_site_fract_y
_atom_site_fract_z
Ir1 0.000 0.000 0.000
Se1 0.000 0.500 0.000
Cl1 0.250 0.250 0.500
```

Question: which arrangement is favored energetically? Ranking from most to least stable: b), a), c).

a) Here is crystalline IrSeCl3 at its relaxed geometry from Alexandria. Energies are from GGA-PBE.

```
data_IrSeCl3
_cell_length_a 4.825
_cell_length_b 4.825
_cell_length_c 4.825
_cell_angle_alpha 90.00
_cell_angle_beta 90.00
_cell_angle_gamma 90.00
_symmetry_space_group_name_H-M 'P m -3 m'
_symmetry_Int_Tables_number 221
_symmetry_space_group_name_Hall '-P 4 2 3'
loop_
_atom_site_label
_atom_site_fract_x
_atom_site_fract_y
_atom_site_fract_z
Ir1 0.000 0.000 0.000
Se1 0.500 0.500 0.500
Cl1 0.000 0.000 0.500
```

b) Here is crystalline IrSeCl3 at its relaxed geometry from Alexandria. Energies are from GGA-PBE.

```
data_IrSeCl3
_cell_length_a 7.526
_cell_length_b 8.233
_cell_length_c 12.344
_cell_angle_alpha 90.00
_cell_angle_beta 94.14
_cell_angle_gamma 90.00
_symmetry_space_group_name_H-M 'P 1 2/c 1'
_symmetry_Int_Tables_number 13
loop_
_symmetry_equiv_pos_as_xyz
'x,y,z'
'-x,-y,-z'
'-x,y,-z+1/2'
'x,-y,z+1/2'
loop_
_atom_site_label
_atom_site_fract_x
_atom_site_fract_y
_atom_site_fract_z
Ir1 0.065 0.126 0.117
Se1 0.041 0.399 0.163
Cl1 0.082 0.158 0.559
Cl2 0.202 0.063 0.291
Cl3 0.335 0.170 0.041
```

Question: which arrangement is favored energetically? Ranking from most to least stable: b), a).

a) Here is crystalline Ir3SeCl at its relaxed geometry from Alexandria. Energies are from GGA-PBE.

```
data_Ir3SeCl
_cell_length_a 4.661
_cell_length_b 4.661
_cell_length_c 4.661
_cell_angle_alpha 90.00
_cell_angle_beta 90.00
_cell_angle_gamma 90.00
_symmetry_space_group_name_H-M 'P m -3 m'
_symmetry_Int_Tables_number 221
_symmetry_space_group_name_Hall '-P 4 2 3'
loop_
_atom_site_label
_atom_site_fract_x
_atom_site_fract_y
_atom_site_fract_z
Ir1 0.000 0.000 0.500
Se1 0.000 0.000 0.000
Cl1 0.500 0.500 0.500
```

b) Here is crystalline Ir3SeCl at its relaxed geometry from Alexandria. Energies are from GGA-PBE.

```
data_Ir3SeCl
_cell_length_a 4.488
_cell_length_b 4.488
_cell_length_c 4.488
_cell_angle_alpha 90.00
_cell_angle_beta 90.00
_cell_angle_gamma 90.00
_symmetry_space_group_name_H-M 'P m -3 m'
_symmetry_Int_Tables_number 221
_symmetry_space_group_name_Hall '-P 4 2 3'
loop_
_atom_site_label
_atom_site_fract_x
_atom_site_fract_y
_atom_site_fract_z
Ir1 0.000 0.000 0.500
Se1 0.500 0.500 0.500
Cl1 0.000 0.000 0.000
```

Question: which arrangement is favored energetically? Ranking from most to least stable: a), b).

a) Here is crystalline SiIrCl2 at its relaxed geometry from Alexandria. Energies are from GGA-PBE.

```
data_SiIrCl2
_cell_length_a 2.957
_cell_length_b 5.612
_cell_length_c 8.751
_cell_angle_alpha 90.00
_cell_angle_beta 90.00
_cell_angle_gamma 90.00
_symmetry_space_group_name_H-M 'C m m m'
_symmetry_Int_Tables_number 65
_symmetry_space_group_name_Hall '-C 2 2'
loop_
_atom_site_label
_atom_site_fract_x
_atom_site_fract_y
_atom_site_fract_z
Si1 0.000 0.000 0.000
Ir1 0.000 0.000 0.500
Cl1 0.000 0.500 0.281
```

b) Here is crystalline SiIrCl2 at its relaxed geometry from Alexandria. Energies are from GGA-PBE.

```
data_SiIrCl2
_cell_length_a 15.503
_cell_length_b 2.957
_cell_length_c 3.917
_cell_angle_alpha 90.00
_cell_angle_beta 91.60
_cell_angle_gamma 90.00
_symmetry_space_group_name_H-M 'C 1 2/m 1'
_symmetry_Int_Tables_number 12
loop_
_symmetry_equiv_pos_as_xyz
'x,y,z'
'-x,-y,-z'
'-x,y,-z'
'x,-y,z'
'x+1/2,y+1/2,z'
'-x+1/2,-y+1/2,-z'
'-x+1/2,y+1/2,-z'
'x+1/2,-y+1/2,z'
loop_
_atom_site_label
_atom_site_fract_x
_atom_site_fract_y
_atom_site_fract_z
Si1 0.000 0.000 0.000
Ir1 0.000 0.500 0.500
Cl1 0.141 0.000 0.234
```

Question: which arrangement is favored energetically? Ranking from most to least stable: b), a).

a) Here is crystalline SiIrCl2 at its relaxed geometry from Alexandria. Energies are from GGA-PBE.

```
data_SiIrCl2
_cell_length_a 3.1588
_cell_length_b 3.1588
_cell_length_c 25.5141
_cell_angle_alpha 90.00
_cell_angle_beta 90.00
_cell_angle_gamma 120.00
_symmetry_space_group_name_H-M 'R -3 m'
_symmetry_Int_Tables_number 166
_symmetry_space_group_name_Hall '-R 3 2"'
loop_
_atom_site_label
_atom_site_fract_x
_atom_site_fract_y
_atom_site_fract_z
Si1 0.0000 0.0000 0.0000
Ir1 0.0000 0.0000 0.5000
Cl1 0.0000 0.0000 0.2374
```

b) Here is crystalline SiIrCl2 at its relaxed geometry from Alexandria. Energies are from GGA-PBE.

```
data_SiIrCl2
_cell_length_a 4.445
_cell_length_b 4.445
_cell_length_c 6.600
_cell_angle_alpha 90.00
_cell_angle_beta 90.00
_cell_angle_gamma 90.00
_symmetry_space_group_name_H-M 'I -4 m 2'
_symmetry_Int_Tables_number 119
_symmetry_space_group_name_Hall 'I -4 -2'
loop_
_atom_site_label
_atom_site_fract_x
_atom_site_fract_y
_atom_site_fract_z
Si1 0.000 0.000 0.000
Ir1 0.000 0.500 0.250
Cl1 0.000 0.000 0.500
Cl2 0.000 0.500 0.750
```

c) Here is crystalline SiIrCl2 at its relaxed geometry from Alexandria. Energies are from GGA-PBE.

```
data_SiIrCl2
_cell_length_a 4.145
_cell_length_b 4.145
_cell_length_c 16.831
_cell_angle_alpha 90.00
_cell_angle_beta 90.00
_cell_angle_gamma 90.00
_symmetry_space_group_name_H-M 'I -4 2 d'
_symmetry_Int_Tables_number 122
_symmetry_space_group_name_Hall 'I -4 2bw'
loop_
_atom_site_label
_atom_site_fract_x
_atom_site_fract_y
_atom_site_fract_z
Si1 0.000 0.000 0.000
Ir1 0.000 0.000 0.500
Cl1 0.237 0.250 0.625
```

Question: which arrangement is favored energetically? Ranking from most to least stable: c), b), a).

a) Here is crystalline SiIrCl2 at its relaxed geometry from Alexandria. Energies are from GGA-PBE.

```
data_SiIrCl2
_cell_length_a 3.466
_cell_length_b 5.426
_cell_length_c 8.913
_cell_angle_alpha 90.00
_cell_angle_beta 90.00
_cell_angle_gamma 90.00
_symmetry_space_group_name_H-M 'C m m 2'
_symmetry_Int_Tables_number 35
loop_
_symmetry_equiv_pos_as_xyz
'x,y,z'
'-x,-y,z'
'-x,y,z'
'x,-y,z'
'x+1/2,y+1/2,z'
'-x+1/2,-y+1/2,z'
'-x+1/2,y+1/2,z'
'x+1/2,-y+1/2,z'
loop_
_atom_site_label
_atom_site_fract_x
_atom_site_fract_y
_atom_site_fract_z
Si1 0.000 0.000 0.000
Ir1 0.000 0.500 0.165
Cl1 0.000 0.000 0.374
Cl2 0.000 0.500 0.790
```

b) Here is crystalline SiIrCl2 at its relaxed geometry from Alexandria. Energies are from GGA-PBE.

```
data_SiIrCl2
_cell_length_a 6.833
_cell_length_b 3.947
_cell_length_c 8.285
_cell_angle_alpha 90.00
_cell_angle_beta 104.84
_cell_angle_gamma 90.00
_symmetry_space_group_name_H-M 'C 1 m 1'
_symmetry_Int_Tables_number 8
loop_
_symmetry_equiv_pos_as_xyz
'x,y,z'
'x,-y,z'
'x+1/2,y+1/2,z'
'x+1/2,-y+1/2,z'
loop_
_atom_site_label
_atom_site_fract_x
_atom_site_fract_y
_atom_site_fract_z
Si1 0.000 0.000 0.000
Ir1 0.354 0.000 0.065
Cl1 0.407 0.500 0.737
Cl2 0.436 0.000 0.342
```

Question: which arrangement is favored energetically? Ranking from most to least stable: b), a).